[1]
The following is a DFT calculation (PBE) of a relaxed structure of MgCuOs2.

Unit cell a=2.845 b=2.845 c=7.231 alpha=90.00 beta=90.00 gamma=90.00
Positions (direct):
Cu  0.000  0.000  0.490
Os  0.000  0.000  0.019
Os  0.500  0.500  0.247
Mg  0.500  0.500  0.743

## Properties
For the final energy, the calculation gives -6.9446 eV per atom.

[2]
The following is a DFT calculation (PBE) of a relaxed structure of MgCuOs2.

Unit cell a=2.880 b=4.456 c=4.502 alpha=90.00 beta=90.00 gamma=90.00
Positions (direct):
Mg  0.000  0.500  0.500
Cu  0.500  0.000  0.500
Os  0.500  0.500  0.000
Os  0.000  0.000  0.000

## Properties
For the final energy, the calculation gives -6.7501 eV per atom.

[3]
The following is a DFT calculation (PBE) of a relaxed structure of Mg2CuOs.

Unit cell a=4.771 b=4.771 c=4.771 alpha=130.65 beta=130.65 gamma=72.37
Last column: magnetic moment on the atom in μB.
Positions (direct):
Mg  0.000  0.000  0.000  0.00
Mg  0.500  0.500  0.000  0.00
Cu  0.750  0.250  0.500  0.01
Os  0.250  0.750  0.500  0.46

## Properties
Its energy above the lowest structure with this stoichiometry is 27 kJ/mol of formula units.

[4]
The following is a DFT calculation (PBE) of a relaxed structure of MgCuOs2.

Unit cell a=4.878 b=4.878 c=4.576 alpha=76.74 beta=76.74 gamma=33.22
Positions (direct):
Os  0.011  0.011  0.995
Os  0.489  0.489  0.505
Cu  0.750  0.750  0.750
Mg  0.250  0.250  0.250

## Properties
For the final energy, the calculation gives -6.7679 eV per atom.

[5]
The following is a DFT calculation (PBE) of a relaxed structure of Mg2CuOs.

Unit cell a=4.428 b=4.428 c=4.428 alpha=60.00 beta=60.00 gamma=60.00
Last column: magnetic moment on the atom in μB.
Positions (direct):
Mg  0.250  0.250  0.250  0.00
Mg  0.000  0.000  0.000  0.00
Cu  0.500  0.500  0.500  0.03
Os  0.750  0.750  0.750  0.20

## Properties
Its energy above the lowest structure with this stoichiometry is 62 kJ/mol of formula units.

[6]
The following is a DFT calculation (PBE) of a relaxed structure of MgCu2Os.

Unit cell a=8.823 b=8.823 c=8.823 alpha=17.82 beta=17.82 gamma=17.82
Positions (direct):
Os  0.746  0.746  0.746
Mg  0.502  0.502  0.502
Cu  0.254  0.254  0.254
Cu  0.997  0.997  0.997

## Properties
For the final energy, the calculation gives -5.0508 eV per atom.

[7]
The following is a DFT calculation (PBE) of a relaxed structure of MgCuOs.

Unit cell a=4.773 b=4.773 c=4.773 alpha=148.42 beta=129.23 gamma=61.03
Positions (direct):
Os  0.662  0.662  0.000
Mg  0.333  0.333  0.000
Cu  0.004  0.004  0.000

## Properties
Its energy above the lowest structure with this stoichiometry is 11 kJ/mol of formula units.

[8]
The following is a DFT calculation (PBE) of a relaxed structure of MgCu2Os.

Unit cell a=4.768 b=4.768 c=4.768 alpha=134.00 beta=134.00 gamma=67.08
Positions (direct):
Os  0.750  0.250  0.500
Mg  0.500  0.500  0.000
Cu  0.250  0.750  0.500
Cu  0.000  0.000  0.000

## Properties
For the final energy, the calculation gives -4.9595 eV per atom.

no.,magnetization (μB/atom)
1,0.000
2,0.000
3,0.120
4,0.000
5,0.068
6,0.000
7,0.000
8,0.000